The following is a DFT calculation (PBE-GGA) of a relaxed structure of DyGa2FePt4.

The calculation puts the theoretical density at 14.84 Mg/m³. The calculation puts the size of the total moment at 2.83 μB/f.u. As for the volume: 15.9 Å³/atom. Its total energy is -48.06 eV/cell.

a b c (Å): 4.240 4.240 7.086
angles (deg): 90.00 90.00 90.00
Atoms (fractional coordinates):
Dy 0.000 0.000 0.000
Ga 0.000 0.000 0.500
Ga 0.500 0.500 0.000
Fe 0.500 0.500 0.500
Pt 0.000 0.500 0.278
Pt 0.000 0.500 0.722
Pt 0.500 0.000 0.278
Pt 0.500 0.000 0.722

The following is a DFT calculation (PBE-GGA) of a relaxed structure of Dy3GaFeS7.

The calculation puts the theoretical density at 5.66 Mg/m³. The calculation puts the size of the total moment at 4.00 μB/f.u. As for the volume: 20.5 Å³/atom. Its total energy is -143.30 eV/cell.

a b c (Å): 9.592 6.138 9.614
angles (deg): 90.00 119.79 90.00
Atoms (fractional coordinates):
Dy 0.124 0.000 0.345
Dy 0.276 0.502 0.121
Dy 0.347 0.500 0.723
Dy 0.653 0.000 0.277
Dy 0.724 0.002 0.879
Dy 0.876 0.500 0.655
Ga 0.167 0.075 0.833
Ga 0.833 0.575 0.167
Fe 0.497 0.178 0.494
Fe 0.503 0.678 0.506
S 0.019 0.234 0.932
S 0.069 0.235 0.588
S 0.166 0.707 0.832
S 0.262 0.412 0.397
S 0.365 0.910 0.262
S 0.397 0.913 0.636
S 0.413 0.235 0.981
S 0.587 0.735 0.019
S 0.603 0.413 0.364
S 0.635 0.410 0.738
S 0.738 0.912 0.603
S 0.834 0.207 0.168
S 0.931 0.735 0.412
S 0.981 0.734 0.068

The following is a DFT calculation (PBE-GGA) of a relaxed structure of DyScGa2Fe4.

The calculation puts the theoretical density at 7.10 Mg/m³. The calculation puts the size of the total moment at 6.90 μB/f.u. As for the volume: 16.7 Å³/atom. Its total energy is -51.58 eV/cell.

a b c (Å): 4.170 4.170 8.863
angles (deg): 90.00 90.00 120.00
Atoms (fractional coordinates):
Dy 0.000 0.000 0.000
Sc 0.667 0.333 0.500
Ga 0.333 0.667 0.263
Ga 0.333 0.667 0.737
Fe 0.000 0.000 0.310
Fe 0.000 0.000 0.690
Fe 0.667 0.333 0.217
Fe 0.667 0.333 0.783

The following is a DFT calculation (PBE-GGA) of a relaxed structure of DyYGa2Fe4.

The calculation puts the theoretical density at 7.20 Mg/m³. The calculation puts the size of the total moment at 7.13 μB/f.u. As for the volume: 17.7 Å³/atom. Its total energy is -51.75 eV/cell.

a b c (Å): 4.183 4.183 9.344
angles (deg): 90.00 90.00 120.00
Atoms (fractional coordinates):
Dy 0.000 0.000 0.000
Y 0.667 0.333 0.500
Ga 0.333 0.667 0.250
Ga 0.333 0.667 0.750
Fe 0.000 0.000 0.290
Fe 0.000 0.000 0.710
Fe 0.667 0.333 0.207
Fe 0.667 0.333 0.793

The following is a DFT calculation (PBE-GGA) of a relaxed structure of GdDyFe.

The calculation puts the theoretical density at 8.55 Mg/m³. As for the energy relative to the elements: 0.210 eV per atom. The calculation puts the size of the total moment at 0.24 μB/f.u. As for the volume: 24.3 Å³/atom. Its total energy is -16.93 eV/cell. The calculation puts the offset from the most stable computed form at 0 meV/atom.

a b c (Å): 4.689 4.689 4.689
angles (deg): 60.00 60.00 60.00
Atoms (fractional coordinates):
Gd 0.000 0.000 0.000
Dy 0.500 0.500 0.500
Fe 0.750 0.750 0.750

The following is a DFT calculation (PBE-GGA) of a relaxed structure of GdDy2Fe9.

The calculation puts the theoretical density at 9.22 Mg/m³. As for the energy relative to the elements: -0.058 eV per atom. The calculation puts the size of the total moment at 16.00 μB/f.u. As for the volume: 14.8 Å³/atom. Its total energy is -89.33 eV/cell.

a b c (Å): 8.548 8.548 8.548
angles (deg): 34.36 34.36 34.36
Atoms (fractional coordinates):
Gd 0.000 0.000 0.000
Dy 0.142 0.142 0.142
Dy 0.858 0.858 0.858
Fe 0.082 0.581 0.581
Fe 0.333 0.333 0.333
Fe 0.419 0.419 0.918
Fe 0.419 0.918 0.419
Fe 0.500 0.500 0.500
Fe 0.581 0.082 0.581
Fe 0.581 0.581 0.082
Fe 0.667 0.667 0.667
Fe 0.918 0.419 0.419

Q: Among the records above, which one has the highest size of the total moment?
A: GdDy2Fe9